#a
VASP calculation (PBE) on Li2CoMo after structural relaxation.

extended XYZ file:
```
4
Lattice="3.4001 0.0000 0.0000 0.0000 3.4001 0.0000 0.0000 0.0000 4.5907" Properties=species:S:1:pos:R:3 pbc="T T T"
Li 0.0000 1.7000 0.0000
Li 1.7000 0.0000 0.0000
Co 0.0000 0.0000 2.2953
Mo 1.7000 1.7000 2.2953
```

Results
DOS at the Fermi energy in states/eV per cell: 2.7

---

#b
VASP calculation (PBE) on Li2CoMo after structural relaxation.

extended XYZ file:
```
8
Lattice="-3.3950 3.3950 2.3456 3.3950 -3.3950 2.3456 3.3950 3.3950 -2.3456" Properties=species:S:1:pos:R:3 pbc="T T T"
Li 1.6975 1.5141 -0.5864
Li 1.8808 -1.6975 2.9320
Li 1.6975 1.8808 1.7592
Li 1.5141 5.0924 0.5864
Co 0.0000 0.0000 0.0000
Co 0.0000 3.3950 1.1728
Mo 3.3950 0.0000 1.1728
Mo 0.0000 0.0000 2.3456
```

Results
DOS at the Fermi energy in states/eV per cell: 8.6

---

#c
VASP calculation (PBE) on Li2CoMo after structural relaxation.

extended XYZ file:
```
4
Lattice="2.5162 0.0000 0.0000 0.0000 4.4688 0.0000 0.0000 0.0000 4.7691" Properties=species:S:1:pos:R:3 pbc="T T T"
Li 0.0000 0.0000 1.1471
Li 0.0000 0.0000 3.6219
Co 1.2581 2.2344 0.0000
Mo 1.2581 2.2344 2.3845
```

Results
DOS at the Fermi energy in states/eV per cell: 3.1

---

Most stable = #a